[1]
First-principles (PBE) data for a geometry-optimized Mn2CoCl structure, as listed in Alexandria.

## Properties
Formation energy from raw total energies = 57.4 kJ/mol of atoms
Total energy = -24.91 eV for the cell shown

Lattice parameters (Å, degrees): 2.940 4.129 4.745 90.00 90.00 90.00
Space group Pmmm (No. 47)
Inequivalent atoms, fractional coordinates:
1 Mn 0.000 0.000 0.000 x1
2 Mn 0.500 0.000 0.500 x1
3 Co 0.000 0.500 0.500 x1
4 Cl 0.500 0.500 0.000 x1

=====

[2]
First-principles (PBE) data for a geometry-optimized Pm3Pr3ScTe8 structure, as listed in Alexandria.

## Properties
Formation energy from raw total energies = -136.2 kJ/mol of atoms
Total energy = -243.67 eV for the cell shown

Lattice parameters (Å, degrees): 8.9235 8.9235 21.9761 90.00 90.00 120.00
Space group R-3m (No. 166, hexagonal axes)
Inequivalent atoms, fractional coordinates:
1 Pm 0.0000 0.5000 0.0000 x9
2 Pr 0.0000 0.5000 0.5000 x9
3 Sc 0.0000 0.0000 0.0000 x3
4 Te 0.0000 0.0000 0.2516 x6
5 Te 0.0092 0.5046 0.7461 x18

=====

[3]
First-principles (PBE) data for a geometry-optimized La2RuCSe structure, as listed in Alexandria.

## Properties
Formation energy from raw total energies = -75.3 kJ/mol of atoms
Total energy = -35.74 eV for the cell shown

Lattice parameters (Å, degrees): 5.350 5.350 3.878 90.00 90.00 90.00
Space group P4/mmm (No. 123)
Inequivalent atoms, fractional coordinates:
1 La 0.000 0.500 0.000 x2
2 Ru 0.000 0.000 0.500 x1
3 C 0.000 0.000 0.000 x1
4 Se 0.500 0.500 0.500 x1

=====

[4]
First-principles (PBE) data for a geometry-optimized Er2GePd structure, as listed in Alexandria.

## Properties
ΔH_f (0 K) = -0.9069 eV/atom
Total energy = -45.13 eV for the cell shown

Lattice parameters (Å, degrees): 5.786 4.304 7.696 90.00 110.33 90.00
Space group P2_1/m (No. 11)
Inequivalent atoms, fractional coordinates:
1 Er 0.218 0.250 0.439 x2
2 Er 0.223 0.250 0.917 x2
3 Ge 0.324 0.750 0.206 x2
4 Pd 0.350 0.750 0.711 x2

=====

[5]
First-principles (PBE) data for a geometry-optimized LiPmHg2 structure, as listed in Alexandria.

## Properties
ΔH_f (0 K) = -0.3777 eV/atom
Total energy = -8.78 eV for the cell shown

Lattice parameters (Å, degrees): 5.264 5.264 3.577 90.00 90.00 90.00
Space group P4/mmm (No. 123)
Inequivalent atoms, fractional coordinates:
1 Li 0.000 0.000 0.000 x1
2 Pm 0.500 0.500 0.000 x1
3 Hg 0.000 0.500 0.500 x2

=====

[6]
First-principles (PBE) data for a geometry-optimized InBH4 structure, as listed in Alexandria.

## Properties
Total energy = -81.26 eV for the cell shown

Lattice parameters (Å, degrees): 4.721 5.579 8.432 90.00 100.40 90.00
Space group C2/c (No. 15)
Inequivalent atoms, fractional coordinates:
1 In 0.000 0.236 0.250 x4
2 B 0.250 0.250 0.000 x4
3 H 0.010 0.289 0.577 x8
4 H 0.233 0.029 0.962 x8